Entry i
A relaxed ScTaCo crystal. Source: Alexandria, functional PBE.

Cell and atoms, written as extended XYZ:
```
3
Lattice="4.328 0.000 0.000 -2.164 3.748 0.000 0.000 0.000 3.092" Properties=species:S:1:pos:R:3 pbc="T T T"
Co 0.000 0.000 2.957
Sc 2.164 1.249 0.934
Ta 0.000 2.499 2.292
```

Properties
Total magnetization = 0.5 μB per formula unit
Space-group type = P3m1 (156)
N(E_F) = 2.1 states/eV/f.u.

=====

Entry ii
A relaxed ScTaCo crystal. Source: Alexandria, functional PBE.

Cell and atoms, written as extended XYZ:
```
12
Lattice="4.135 0.000 0.000 0.000 7.744 0.190 -2.068 -0.606 6.615" Properties=species:S:1:pos:R:3 pbc="T T T"
Sc 0.000 2.630 0.802
Sc 0.000 0.702 5.606
Sc 2.068 6.436 1.199
Sc 2.068 4.508 6.003
Ta 0.000 4.753 3.008
Ta 2.068 6.893 4.176
Ta 2.068 2.384 3.798
Ta 0.000 0.245 2.630
Co 0.000 3.244 5.042
Co 2.068 1.185 1.701
Co 2.068 3.894 1.764
Co 0.000 5.953 5.105
```

Properties
Total magnetization = 0.0 μB per formula unit
Space-group type = C2/m (12)
N(E_F) = 2.4 states/eV/f.u.

=====

Entry iii
A relaxed ScTaCo crystal. Source: Alexandria, functional PBE.

Cell and atoms, written as extended XYZ:
```
3
Lattice="-2.802 -1.508 -4.641 0.174 -2.210 -5.172 -0.652 -3.016 0.336" Properties=species:S:1:pos:R:3 pbc="T T T"
Co -0.675 -3.024 0.216
Sc -1.329 -3.256 -3.141
Ta -1.927 -3.469 -6.216
```

Properties
Total magnetization = 0.4 μB per formula unit
Space-group type = I4mm (107)
N(E_F) = 3.3 states/eV/f.u.

=====

Bottom line: entry iii, by a margin of 102 meV/atom.